1.
First-principles (GGA-PBE) data for crystalline Hf2TaMo2 at its relaxed geometry, as listed in Alexandria.

a = 6.707 Å, b = 6.707 Å, c = 4.390 Å
α = 90.00°, β = 90.00°, γ = 90.00°
Sites, in units of the cell vectors:
Hf  0.174  0.326  0.000
Hf  0.326  0.826  0.000
Hf  0.674  0.174  0.000
Hf  0.826  0.674  0.000
Ta  0.000  0.000  0.500
Ta  0.500  0.500  0.500
Mo  0.136  0.636  0.500
Mo  0.364  0.136  0.500
Mo  0.636  0.864  0.500
Mo  0.864  0.364  0.500

The density of states at the Fermi level is 9.29 states/eV per cell. The density is 12.3 g cm⁻³. Its energy of formation is 236 meV/atom. Its symmetry is P4/mbm (127). The energy above the lowest structure with this stoichiometry is 0.000 eV/atom.

---

2.
First-principles (GGA-PBE) data for crystalline Mn5InS8 at its relaxed geometry, as listed in Alexandria.

a = 7.336 Å, b = 7.336 Å, c = 7.336 Å
α = 60.00°, β = 60.00°, γ = 60.00°
Sites, in units of the cell vectors:
Mn  0.000  0.000  0.000
Mn  0.373  0.373  0.373
Mn  0.373  0.373  0.881
Mn  0.373  0.881  0.373
Mn  0.881  0.373  0.373
In  0.750  0.750  0.750
S  0.133  0.133  0.133
S  0.133  0.133  0.600
S  0.133  0.600  0.133
S  0.166  0.611  0.611
S  0.600  0.133  0.133
S  0.611  0.166  0.611
S  0.611  0.611  0.166
S  0.611  0.611  0.611

The density of states at the Fermi level is 8.49 states/eV per cell. The density is 3.8 g cm⁻³. For the formation energy without anion corrections, the calculation gives -0.527 eV per atom. Its symmetry is F-43m (216).

---

3.
First-principles (GGA-PBE) data for crystalline Hf4MnIr2 at its relaxed geometry, as listed in Alexandria.

a = 7.824 Å, b = 7.824 Å, c = 7.824 Å
α = 33.78°, β = 33.78°, γ = 33.78°
Sites, in units of the cell vectors:
Hf  0.124  0.124  0.124
Hf  0.375  0.375  0.375
Hf  0.625  0.625  0.625
Hf  0.876  0.876  0.876
Mn  0.500  0.500  0.500
Ir  0.250  0.250  0.250
Ir  0.750  0.750  0.750

The density of states at the Fermi level is 3.69 states/eV per cell. The density is 14.5 g cm⁻³. Its energy of formation is -654 meV/atom. Its symmetry is R-3m (166).

---

4.
First-principles (GGA-PBE) data for crystalline Mg4Tl at its relaxed geometry, as listed in Alexandria.

a = 8.016 Å, b = 14.023 Å, c = 5.305 Å
α = 90.00°, β = 90.00°, γ = 90.00°
Sites, in units of the cell vectors:
Mg  0.000  0.000  0.250
Mg  0.000  0.000  0.750
Mg  0.011  0.212  0.000
Mg  0.174  0.601  0.000
Mg  0.195  0.393  0.000
Mg  0.305  0.893  0.000
Mg  0.326  0.101  0.000
Mg  0.489  0.712  0.000
Mg  0.500  0.500  0.250
Mg  0.500  0.500  0.750
Mg  0.511  0.288  0.000
Mg  0.674  0.899  0.000
Mg  0.695  0.107  0.000
Mg  0.805  0.607  0.000
Mg  0.826  0.399  0.000
Mg  0.989  0.788  0.000
Tl  0.237  0.750  0.500
Tl  0.263  0.250  0.500
Tl  0.737  0.750  0.500
Tl  0.763  0.250  0.500

The density of states at the Fermi level is 8.99 states/eV per cell. The density is 3.4 g cm⁻³. Its energy of formation is 262 meV/atom. Its symmetry is Pbam (55). The energy above the lowest structure with this stoichiometry is 0.280 eV/atom.

---

5.
First-principles (GGA-PBE) data for crystalline Th2SbI at its relaxed geometry, as listed in Alexandria.

a = 3.874 Å, b = 3.874 Å, c = 7.798 Å
α = 90.00°, β = 90.00°, γ = 90.00°
Sites, in units of the cell vectors:
Th  0.000  0.000  0.234
Th  0.000  0.000  0.766
Sb  0.500  0.500  0.000
I  0.500  0.500  0.500

The density of states at the Fermi level is 2.75 states/eV per cell. The density is 10.1 g cm⁻³. For the formation energy without anion corrections, the calculation gives -0.698 eV per atom. Its symmetry is P4/mmm (123).

---

6.
First-principles (GGA-PBE) data for crystalline Sr2Tl3Ag at its relaxed geometry, as listed in Alexandria.

a = 10.387 Å, b = 9.800 Å, c = 6.508 Å
α = 76.16°, β = 66.36°, γ = 37.47°
Sites, in units of the cell vectors:
Sr  0.250  0.250  0.250
Sr  0.250  0.750  0.750
Sr  0.750  0.250  0.250
Sr  0.750  0.750  0.750
Tl  0.171  0.657  0.343
Tl  0.172  0.172  0.828
Tl  0.343  0.829  0.171
Tl  0.657  0.171  0.829
Tl  0.828  0.828  0.172
Tl  0.829  0.343  0.657
Ag  0.333  0.333  0.667
Ag  0.667  0.667  0.333

The density of states at the Fermi level is 5.83 states/eV per cell. The density is 8.1 g cm⁻³. Its energy of formation is -312 meV/atom. Its symmetry is Fmmm (69). The energy above the lowest structure with this stoichiometry is 0.021 eV/atom.

---

7.
First-principles (GGA-PBE) data for crystalline YBeSiS2 at its relaxed geometry, as listed in Alexandria.

a = 5.161 Å, b = 5.161 Å, c = 5.061 Å
α = 90.00°, β = 90.00°, γ = 90.00°
Sites, in units of the cell vectors:
Y  0.000  0.000  0.000
Be  0.000  0.000  0.500
Si  0.500  0.500  0.500
S  0.000  0.500  0.000
S  0.500  0.000  0.000

The density of states at the Fermi level is 2.93 states/eV per cell. The density is 2.3 g cm⁻³. For the formation energy without anion corrections, the calculation gives 0.599 eV per atom. Its symmetry is P4/mmm (123).

---

8.
First-principles (GGA-PBE) data for crystalline Nd2SmMg3 at its relaxed geometry, as listed in Alexandria.

a = 3.874 Å, b = 3.874 Å, c = 11.642 Å
α = 90.00°, β = 90.00°, γ = 90.00°
Sites, in units of the cell vectors:
Nd  0.000  0.000  0.169
Nd  0.000  0.000  0.831
Sm  0.000  0.000  0.500
Mg  0.500  0.500  0.000
Mg  0.500  0.500  0.337
Mg  0.500  0.500  0.663

The density of states at the Fermi level is 6.89 states/eV per cell. The density is 4.9 g cm⁻³. Its energy of formation is -107 meV/atom. Its symmetry is P4/mmm (123).

---

9.
First-principles (GGA-PBE) data for crystalline CuIr2Au at its relaxed geometry, as listed in Alexandria.

a = 2.772 Å, b = 2.772 Å, c = 7.763 Å
α = 90.00°, β = 90.00°, γ = 90.00°
Sites, in units of the cell vectors:
Cu  0.000  0.000  0.000
Ir  0.000  0.000  0.467
Ir  0.500  0.500  0.237
Au  0.500  0.500  0.748

The density of states at the Fermi level is 2.98 states/eV per cell. The density is 18.0 g cm⁻³. Its energy of formation is 117 meV/atom. Its symmetry is P4mm (99). The energy above the lowest structure with this stoichiometry is 0.000 eV/atom.

---

10.
First-principles (GGA-PBE) data for crystalline Hf12Bi3Sb5 at its relaxed geometry, as listed in Alexandria.

a = 14.593 Å, b = 14.593 Å, c = 14.593 Å
α = 109.47°, β = 109.47°, γ = 109.47°
Sites, in units of the cell vectors:
Hf  0.066  0.223  0.148
Hf  0.066  0.343  0.919
Hf  0.075  0.723  0.657
Hf  0.075  0.852  0.419
Hf  0.081  0.648  0.425
Hf  0.081  0.934  0.657
Hf  0.148  0.066  0.223
Hf  0.148  0.581  0.925
Hf  0.157  0.223  0.575
Hf  0.157  0.434  0.581
Hf  0.223  0.148  0.066
Hf  0.223  0.575  0.157
Hf  0.277  0.343  0.925
Hf  0.277  0.434  0.352
Hf  0.343  0.919  0.066
Hf  0.343  0.925  0.277
Hf  0.352  0.277  0.434
Hf  0.352  0.575  0.919
Hf  0.419  0.075  0.852
Hf  0.419  0.843  0.566
Hf  0.425  0.081  0.648
Hf  0.425  0.843  0.777
Hf  0.434  0.352  0.277
Hf  0.434  0.581  0.157
Hf  0.566  0.419  0.843
Hf  0.566  0.648  0.723
Hf  0.575  0.157  0.223
Hf  0.575  0.919  0.352
Hf  0.581  0.157  0.434
Hf  0.581  0.925  0.148
Hf  0.648  0.425  0.081
Hf  0.648  0.723  0.566
Hf  0.657  0.075  0.723
Hf  0.657  0.081  0.934
Hf  0.723  0.566  0.648
Hf  0.723  0.657  0.075
Hf  0.777  0.425  0.843
Hf  0.777  0.852  0.934
Hf  0.843  0.566  0.419
Hf  0.843  0.777  0.425
Hf  0.852  0.419  0.075
Hf  0.852  0.934  0.777
Hf  0.919  0.066  0.343
Hf  0.919  0.352  0.575
Hf  0.925  0.148  0.581
Hf  0.925  0.277  0.343
Hf  0.934  0.657  0.081
Hf  0.934  0.777  0.852
Bi  0.125  0.250  0.375
Bi  0.125  0.375  0.750
Bi  0.250  0.375  0.125
Bi  0.250  0.875  0.625
Bi  0.375  0.125  0.250
Bi  0.375  0.750  0.125
Bi  0.625  0.250  0.875
Bi  0.625  0.875  0.750
Bi  0.750  0.125  0.375
Bi  0.750  0.625  0.875
Bi  0.875  0.625  0.250
Bi  0.875  0.750  0.625
Sb  0.000  0.000  0.000
Sb  0.000  0.000  0.500
Sb  0.000  0.500  0.000
Sb  0.000  0.500  0.500
Sb  0.125  0.750  0.875
Sb  0.125  0.875  0.250
Sb  0.250  0.125  0.875
Sb  0.250  0.625  0.375
Sb  0.375  0.250  0.625
Sb  0.375  0.625  0.750
Sb  0.500  0.000  0.000
Sb  0.500  0.000  0.500
Sb  0.500  0.500  0.000
Sb  0.500  0.500  0.500
Sb  0.625  0.375  0.250
Sb  0.625  0.750  0.375
Sb  0.750  0.375  0.625
Sb  0.750  0.875  0.125
Sb  0.875  0.125  0.750
Sb  0.875  0.250  0.125

The density of states at the Fermi level is 88.33 states/eV per cell. The density is 9.4 g cm⁻³. For the formation energy without anion corrections, the calculation gives 0.376 eV per atom. Its symmetry is Ia-3d (230).

---

11.
First-principles (GGA-PBE) data for crystalline Pm5PrDyHo2 at its relaxed geometry, as listed in Alexandria.

a = 10.548 Å, b = 10.548 Å, c = 10.632 Å
α = 90.00°, β = 90.00°, γ = 148.66°
Sites, in units of the cell vectors:
Pm  0.017  0.983  0.500
Pm  0.280  0.720  0.792
Pm  0.297  0.703  0.186
Pm  0.387  0.613  0.502
Pm  0.479  0.521  0.219
Pm  0.521  0.479  0.719
Pm  0.613  0.387  0.002
Pm  0.703  0.297  0.686
Pm  0.720  0.280  0.292
Pm  0.983  0.017  0.000
Pr  0.413  0.587  0.930
Pr  0.587  0.413  0.430
Dy  0.199  0.801  0.490
Dy  0.801  0.199  0.990
Ho  0.113  0.887  0.212
Ho  0.116  0.884  0.797
Ho  0.884  0.116  0.297
Ho  0.887  0.113  0.712

The density of states at the Fermi level is 28.65 states/eV per cell. The density is 7.3 g cm⁻³. Its energy of formation is 151 meV/atom. Its symmetry is Cmc2_1 (36).

---

12.
First-principles (GGA-PBE) data for crystalline TmBeAl2Pd4 at its relaxed geometry, as listed in Alexandria.

a = 8.434 Å, b = 8.434 Å, c = 8.434 Å
α = 29.32°, β = 29.32°, γ = 29.32°
Sites, in units of the cell vectors:
Tm  0.000  0.000  0.000
Be  0.500  0.500  0.500
Al  0.241  0.241  0.241
Al  0.759  0.759  0.759
Pd  0.134  0.134  0.134
Pd  0.403  0.403  0.403
Pd  0.597  0.597  0.597
Pd  0.866  0.866  0.866

The density of states at the Fermi level is 2.90 states/eV per cell. The density is 8.6 g cm⁻³. Its energy of formation is -804 meV/atom. Its symmetry is R-3m (166).

---

13.
First-principles (GGA-PBE) data for crystalline LaTl2I5 at its relaxed geometry, as listed in Alexandria.

a = 14.502 Å, b = 9.905 Å, c = 9.251 Å
α = 90.00°, β = 90.00°, γ = 90.00°
Sites, in units of the cell vectors:
La  0.005  0.250  0.081
La  0.495  0.750  0.581
La  0.505  0.250  0.419
La  0.995  0.750  0.919
Tl  0.177  0.503  0.548
Tl  0.177  0.997  0.548
Tl  0.323  0.003  0.048
Tl  0.323  0.497  0.048
Tl  0.677  0.503  0.952
Tl  0.677  0.997  0.952
Tl  0.823  0.003  0.452
Tl  0.823  0.497  0.452
I  0.005  0.250  0.436
I  0.081  0.546  0.168
I  0.081  0.954  0.168
I  0.183  0.250  0.870
I  0.211  0.750  0.832
I  0.289  0.250  0.332
I  0.317  0.750  0.370
I  0.419  0.046  0.668
I  0.419  0.454  0.668
I  0.495  0.750  0.936
I  0.505  0.250  0.064
I  0.581  0.546  0.332
I  0.581  0.954  0.332
I  0.683  0.250  0.630
I  0.711  0.750  0.668
I  0.789  0.250  0.168
I  0.817  0.750  0.130
I  0.919  0.046  0.832
I  0.919  0.454  0.832
I  0.995  0.750  0.564

The density of states at the Fermi level is 0.00 states/eV per cell. The density is 5.9 g cm⁻³. For the formation energy without anion corrections, the calculation gives -1.104 eV per atom. Its symmetry is Pnma (62).

---

14.
First-principles (GGA-PBE) data for crystalline Pu2NpGa9 at its relaxed geometry, as listed in Alexandria.

a = 9.224 Å, b = 9.224 Å, c = 9.224 Å
α = 35.25°, β = 35.25°, γ = 35.25°
Sites, in units of the cell vectors:
Pu  0.141  0.141  0.141
Pu  0.859  0.859  0.859
Np  0.000  0.000  0.000
Ga  0.073  0.589  0.589
Ga  0.337  0.337  0.337
Ga  0.411  0.411  0.927
Ga  0.411  0.927  0.411
Ga  0.500  0.500  0.500
Ga  0.589  0.073  0.589
Ga  0.589  0.589  0.073
Ga  0.663  0.663  0.663
Ga  0.927  0.411  0.411

The density of states at the Fermi level is 28.57 states/eV per cell. The density is 9.6 g cm⁻³. Its energy of formation is -193 meV/atom. Its symmetry is R-3m (166). The energy above the lowest structure with this stoichiometry is 0.118 eV/atom.

---

15.
First-principles (GGA-PBE) data for crystalline NbBiNF2 at its relaxed geometry, as listed in Alexandria.

a = 4.456 Å, b = 4.456 Å, c = 4.674 Å
α = 90.00°, β = 90.00°, γ = 90.00°
Sites, in units of the cell vectors:
Nb  0.000  0.000  0.000
Bi  0.500  0.500  0.500
N  0.500  0.500  0.000
F  0.000  0.500  0.500
F  0.500  0.000  0.500

The density of states at the Fermi level is 4.75 states/eV per cell. The density is 6.3 g cm⁻³. For the formation energy without anion corrections, the calculation gives 0.072 eV per atom. Its symmetry is P4/mmm (123). The energy above the lowest structure with this stoichiometry is 1.050 eV/atom.

---

16.
First-principles (GGA-PBE) data for crystalline LaGeSeO2 at its relaxed geometry, as listed in Alexandria.

a = 6.713 Å, b = 6.713 Å, c = 5.319 Å
α = 90.00°, β = 90.00°, γ = 131.70°
Sites, in units of the cell vectors:
La  0.128  0.872  0.750
La  0.872  0.128  0.250
Ge  0.439  0.561  0.750
Ge  0.561  0.439  0.250
Se  0.254  0.746  0.250
Se  0.746  0.254  0.750
O  0.274  0.274  0.000
O  0.274  0.274  0.500
O  0.726  0.726  0.000
O  0.726  0.726  0.500

The density of states at the Fermi level is 4.86 states/eV per cell. The density is 6.0 g cm⁻³. For the formation energy without anion corrections, the calculation gives -1.911 eV per atom. Its symmetry is Cmcm (63).

---

17.
First-principles (GGA-PBE) data for crystalline CsHg5Bi at its relaxed geometry, as listed in Alexandria.

a = 7.461 Å, b = 7.461 Å, c = 7.461 Å
α = 119.39°, β = 92.43°, γ = 117.84°
Sites, in units of the cell vectors:
Cs  0.000  0.000  0.000
Hg  0.208  0.439  0.769
Hg  0.213  0.713  0.500
Hg  0.497  0.263  0.766
Hg  0.497  0.731  0.234
Hg  0.670  0.439  0.231
Bi  0.793  0.293  0.500

The density of states at the Fermi level is 2.30 states/eV per cell. The density is 7.5 g cm⁻³. Its energy of formation is -82 meV/atom. Its symmetry is Imm2 (44).

---

18.
First-principles (GGA-PBE) data for crystalline Sm6TlZn at its relaxed geometry, as listed in Alexandria.

a = 6.961 Å, b = 6.961 Å, c = 7.031 Å
α = 103.50°, β = 103.50°, γ = 119.48°
Sites, in units of the cell vectors:
Sm  0.016  0.428  0.246
Sm  0.234  0.234  0.760
Sm  0.428  0.016  0.246
Sm  0.572  0.984  0.754
Sm  0.766  0.766  0.240
Sm  0.984  0.572  0.754
Tl  0.500  0.500  0.500
Zn  0.000  0.000  0.000

The density of states at the Fermi level is 11.83 states/eV per cell. The density is 7.4 g cm⁻³. Its energy of formation is 90 meV/atom. Its symmetry is C2/m (12). The energy above the lowest structure with this stoichiometry is 0.234 eV/atom.

---

19.
First-principles (GGA-PBE) data for crystalline Pt2SeN at its relaxed geometry, as listed in Alexandria.

a = 4.308 Å, b = 4.308 Å, c = 4.308 Å
α = 60.00°, β = 60.00°, γ = 60.00°
Sites, in units of the cell vectors:
Pt  0.250  0.250  0.250
Pt  0.750  0.750  0.750
Se  0.000  0.000  0.000
N  0.500  0.500  0.500

The density of states at the Fermi level is 3.75 states/eV per cell. The density is 14.2 g cm⁻³. For the formation energy without anion corrections, the calculation gives 1.065 eV per atom. Its symmetry is Fm-3m (225). The energy above the lowest structure with this stoichiometry is 0.657 eV/atom.

---

Magnetic moment (computed, μB per cell): 0.000, 21.662, 0.000, 0.000, 0.000, 0.000, 0.000, 0.000, 0.000, 0.003, 0.000, 0.000, 0.000, 15.798, 3.333, 0.000, 0.000, 0.440, 0.000